PmSeN: optimized geometry, PBE.

a = 8.8437 Å, b = 4.1331 Å, c = 8.3936 Å
α = 90.00°, β = 103.62°, γ = 90.00°
With the nearest neighbours (Å) after each atom.
Positions (direct):
Pm: 0.1632 0.2444 0.4161  1 N 2.50
Pm: 0.1632 0.2556 0.9161  1 N 2.50
Pm: 0.8368 0.7444 0.0839  1 N 2.50
Pm: 0.8368 0.7556 0.5839  1 N 2.50
Se: 0.1833 0.7495 0.6712  5 Pm 2.93-2.98
Se: 0.1833 0.7505 0.1712  5 Pm 2.93-2.98
Se: 0.8167 0.2495 0.8288  5 Pm 2.93-2.98
Se: 0.8167 0.2505 0.3288  5 Pm 2.93-2.98
N: 0.4419 0.0681 0.4857  1 N 1.15
N: 0.4419 0.4319 0.9857  1 N 1.15
N: 0.5581 0.5681 0.0143  1 N 1.15
N: 0.5581 0.9319 0.5143  1 N 1.15

Computed properties:
For the volume, the calculation gives 74.54 Å³/f.u. As for the uncorrected formation energy: -1.200 eV per atom. As for the space group: P2_1/c.